# PBE with a Hubbard U CsNiHg2F8, relaxed
data_CsNiHg2F8
_symmetry_space_group_name_H-M 'P 1'
_symmetry_Int_Tables_number 1
_cell_length_a 9.532
_cell_length_b 9.532
_cell_length_c 9.532
_cell_angle_alpha 36.71
_cell_angle_beta 36.71
_cell_angle_gamma 36.71
loop_
_symmetry_equiv_pos_as_xyz
'x,y,z'
loop_
_atom_site_label
_atom_site_fract_x
_atom_site_fract_y
_atom_site_fract_z
Cs1 0.000 0.000 0.000
Ni1 0.500 0.500 0.500
Hg1 0.249 0.249 0.249
Hg2 0.751 0.751 0.751
F1 0.163 0.605 0.605
F2 0.328 0.328 0.328
F3 0.395 0.395 0.837
F4 0.395 0.837 0.395
F5 0.605 0.163 0.605
F6 0.605 0.605 0.163
F7 0.672 0.672 0.672
F8 0.837 0.395 0.395
# * energy: -3.2008 eV/atom
# * SG: No. 166